No. 1
{
  "formula": "SrZrP2Se8",
  "functional": "PBE",
  "state": "optimized geometry",
  "e_form_raw_ev_per_atom": -0.606,
  "magmom_total_mub_per_cell": 0.0,
  "spacegroup": "P-3 (147)",
  "lattice": [[6.364, 0.000, 0.000], [-3.182, 5.511, 0.000], [0.000, 0.000, 9.146]],
  "species": ["Sr", "Zr", "P", "P", "Se", "Se", "Se", "Se", "Se", "Se", "Se", "Se"],
  "fractional_positions": [[0.000, 0.000, 0.000], [0.000, 0.000, 0.500], [0.333, 0.667, 0.747], [0.667, 0.333, 0.253], [0.015, 0.671, 0.320], [0.329, 0.344, 0.320], [0.333, 0.667, 0.984], [0.344, 0.015, 0.680], [0.656, 0.985, 0.320], [0.667, 0.333, 0.016], [0.671, 0.656, 0.680], [0.985, 0.329, 0.680]]
}

No. 2
{
  "formula": "RbTePb2S4",
  "functional": "PBE",
  "state": "optimized geometry",
  "e_form_raw_ev_per_atom": -0.378,
  "magmom_total_mub_per_cell": 0.0,
  "spacegroup": "C2/c (15)",
  "lattice": [[5.963, -5.906, 0.000], [5.963, 5.906, 0.000], [-5.451, 0.000, 6.439]],
  "species": ["Rb", "Rb", "Te", "Te", "Pb", "Pb", "Pb", "Pb", "S", "S", "S", "S", "S", "S", "S", "S"],
  "fractional_positions": [[0.000, 0.000, 0.000], [0.000, 0.000, 0.500], [0.000, 0.500, 0.000], [0.500, 0.000, 0.500], [0.000, 0.500, 0.500], [0.500, 0.000, 0.000], [0.500, 0.500, 0.000], [0.500, 0.500, 0.500], [0.210, 0.695, 0.948], [0.256, 0.294, 0.037], [0.294, 0.256, 0.537], [0.305, 0.790, 0.552], [0.695, 0.210, 0.448], [0.706, 0.744, 0.463], [0.744, 0.706, 0.963], [0.790, 0.305, 0.052]]
}

No. 3
{
  "formula": "CaSm2Ga6",
  "functional": "PBE",
  "state": "optimized geometry",
  "magmom_total_mub_per_cell": 0.0,
  "spacegroup": "P6/mmm (191)",
  "ef_mev_per_atom": -608,
  "lattice": [[7.384, 0.000, 0.000], [-3.692, 6.394, 0.000], [0.000, 0.000, 4.273]],
  "species": ["Ca", "Sm", "Sm", "Ga", "Ga", "Ga", "Ga", "Ga", "Ga"],
  "fractional_positions": [[0.000, 0.000, 0.000], [0.333, 0.667, 0.000], [0.667, 0.333, 0.000], [0.000, 0.335, 0.500], [0.000, 0.665, 0.500], [0.335, 0.000, 0.500], [0.335, 0.335, 0.500], [0.665, 0.000, 0.500], [0.665, 0.665, 0.500]]
}

No. 4
{
  "formula": "SrTaN3",
  "functional": "PBE",
  "state": "optimized geometry",
  "e_form_raw_ev_per_atom": -0.324,
  "magmom_total_mub_per_cell": 4.0,
  "spacegroup": "P6_322 (182)",
  "lattice": [[6.069, 0.000, 0.000], [-3.035, 5.256, 0.000], [0.000, 0.000, 5.598]],
  "species": ["Sr", "Sr", "Ta", "Ta", "N", "N", "N", "N", "N", "N"],
  "fractional_positions": [[0.333, 0.667, 0.250], [0.667, 0.333, 0.750], [0.000, 0.000, 0.250], [0.000, 0.000, 0.750], [0.000, 0.257, 0.500], [0.000, 0.743, 0.000], [0.257, 0.000, 0.500], [0.257, 0.257, 0.000], [0.743, 0.000, 0.000], [0.743, 0.743, 0.500]]
}